Here is crystalline ZnCoCu4As2 at its relaxed geometry from OQMD. Energies are from PBE-GGA.

Unit cell a=4.243 b=4.243 c=5.952 alpha=90.00 beta=90.00 gamma=90.00
Sites, in units of the cell vectors:
1 Zn 0.000 0.000 0.000
2 Co 0.500 0.500 0.500
3 Cu 0.000 0.500 0.254
4 Cu 0.000 0.500 0.746
5 Cu 0.500 0.000 0.254
6 Cu 0.500 0.000 0.746
7 As 0.000 0.000 0.500
8 As 0.500 0.500 0.000

## Properties
DFT total energy: -30.7 eV for the cell shown
V: 107 Å³/f.u.
SG: P4/mmm, No. 123

Here is crystalline TlFe4C2S at its relaxed geometry from OQMD. Energies are from PBE-GGA.

Unit cell a=3.057 b=3.057 c=11.448 alpha=90.00 beta=90.00 gamma=120.00
Sites, in units of the cell vectors:
1 Tl 0.000 0.000 0.000
2 Fe 0.000 0.000 0.359
3 Fe 0.000 0.000 0.641
4 Fe 0.667 0.333 0.203
5 Fe 0.667 0.333 0.797
6 C 0.333 0.667 0.267
7 C 0.333 0.667 0.733
8 S 0.667 0.333 0.500

## Properties
DFT total energy: -56.4 eV for the cell shown
V: 93 Å³/f.u.
SG: P-6m2, No. 187

Here is crystalline LuScCSe at its relaxed geometry from OQMD. Energies are from PBE-GGA.

Unit cell a=3.589 b=3.589 c=12.629 alpha=90.00 beta=90.00 gamma=120.00
Sites, in units of the cell vectors:
1 Lu 0.000 0.000 0.156
2 Lu 0.000 0.000 0.844
3 Sc 0.333 0.667 0.353
4 Sc 0.333 0.667 0.647
5 C 0.667 0.333 0.257
6 C 0.667 0.333 0.743
7 Se 0.000 0.000 0.500
8 Se 0.333 0.667 0.000

## Properties
DFT total energy: -56.5 eV for the cell shown
V: 70 Å³/f.u.
SG: P-6m2, No. 187

Question: Which of these has the lowest V?
Answer: LuScCSe

Question: The highest DFT total energy belongs to which entry?
Answer: ZnCoCu4As2

Question: V of number 1 (ZnCoCu4As2)?
Answer: 107 Å³/f.u.

Question: Among the records above, which one has the lowest DFT total energy?
Answer: LuScCSe